Record 1
## CuAgBiMo (GGA-PBE)

Data for a relaxed CuAgBiMo crystal.

```
data_CuAgBiMo
_space_group_name_H-M_alt 'F -4 3 m'
_space_group_IT_number 216
_space_group_name_Hall 'F -4 2 3'
_cell_length_a 6.631
_cell_length_b 6.631
_cell_length_c 6.631
_cell_angle_alpha 90.00
_cell_angle_beta 90.00
_cell_angle_gamma 90.00
loop_
_atom_site_label
_atom_site_fract_x
_atom_site_fract_y
_atom_site_fract_z
_atom_site_occupancy
Cu1 0.000 0.000 0.000 1
Ag1 0.250 0.250 0.250 1
Bi1 0.250 0.250 0.750 1
Mo1 0.000 0.000 0.500 1
```

Results
M_tot: 2.83 μB/cell
relative energy among the computed polymorphs: 0.0 kJ/mol of formula units
total energy: -4.70 eV per atom



Record 2
## K2TeWN4 (GGA-PBE)

Data for a relaxed K2TeWN4 crystal.

```
data_K2TeWN4
_space_group_name_H-M_alt 'I -4'
_space_group_IT_number 82
_cell_length_a 5.988
_cell_length_b 5.988
_cell_length_c 8.409
_cell_angle_alpha 90.00
_cell_angle_beta 90.00
_cell_angle_gamma 90.00
loop_
_space_group_symop_operation_xyz
'x,y,z'
'y,-x,-z'
'-x,-y,z'
'-y,x,-z'
'x+1/2,y+1/2,z+1/2'
'y+1/2,-x+1/2,-z+1/2'
'-x+1/2,-y+1/2,z+1/2'
'-y+1/2,x+1/2,-z+1/2'
loop_
_atom_site_label
_atom_site_fract_x
_atom_site_fract_y
_atom_site_fract_z
_atom_site_occupancy
K1 0.000 0.000 0.000 1
K2 0.000 0.500 0.250 1
Te1 0.000 0.500 0.750 1
W1 0.000 0.000 0.500 1
N1 0.140 0.222 0.624 1
```

Results
M_tot: 0.00 μB/cell
total energy: -6.44 eV per atom